Density functional theory data (GGA-PBE) for a relaxed Tb4PmHo2Mg crystal.

The structure in extended XYZ format:
```
8
Lattice="5.7672 0.0000 0.0000 0.0001 9.4347 -0.1714 0.0000 3.6002 4.5001" Properties=species:S:1:pos:R:3 pbc="T T T"
Mg 0.0001 6.5174 2.1644
Pm 2.8837 8.3175 4.4144
Tb 2.8837 7.9465 1.0235
Tb 5.7672 3.2902 1.0604
Tb 2.8837 5.0883 3.3052
Tb 0.0001 9.7447 3.2683
Ho 0.0000 3.6002 4.5001
Ho 2.8836 1.8001 2.2500
```

Energy of formation ... 0.09 eV per atom
SG ... No. 123
Size of the total moment ... 0.000 μB per atom